No. 1
This record from Alexandria via LeMat-Bulk describes a relaxed structure of Ba6BiTe2I3. The functional is PBE.

```
Ba6BiTe2I3
1.0
8.7324 0.0024 0.0017
-4.3620 7.5649 0.0017
-1.4560 -2.5210 8.1822
Ba Bi Te I
6 1 2 3
Direct
0.9237 0.5917 0.7709 Ba
0.7449 0.7449 0.2302 Ba
0.0763 0.4083 0.2291 Ba
0.5917 0.9237 0.7709 Ba
0.2551 0.2551 0.7698 Ba
0.4083 0.0763 0.2291 Ba
0.0000 0.0000 0.0000 Bi
0.3336 0.6664 0.0000 Te
0.6664 0.3336 0.0000 Te
0.1672 0.8328 0.5000 I
0.8328 0.1672 0.5000 I
0.5000 0.5000 0.5000 I
```

Values from the calculation:
**Crystal system**: monoclinic
**Formation energy from raw total energies**: -1.50 eV per atom
**Symmetry**: C2/m

---

No. 2
This record from Alexandria via LeMat-Bulk describes a relaxed structure of Ba6BiTe3I2. The functional is PBE.

```
Ba6BiTe3I2
1.0
-7.3678 2.4477 -3.9477
-0.3277 -3.9181 7.7718
2.9984 7.8213 2.4471
Ba Bi Te I
6 1 3 2
Direct
0.9131 0.5937 0.7394 Ba
0.7688 0.7688 0.2625 Ba
0.0869 0.4063 0.2606 Ba
0.5937 0.9131 0.7394 Ba
0.2312 0.2312 0.7375 Ba
0.4063 0.0869 0.2606 Ba
0.0000 0.0000 0.0000 Bi
0.1713 0.8287 0.5000 Te
0.8287 0.1713 0.5000 Te
0.5000 0.5000 0.5000 Te
0.3342 0.6658 0.0000 I
0.6658 0.3342 0.0000 I
```

Values from the calculation:
**Crystal system**: monoclinic
**Formation energy from raw total energies**: -1.57 eV per atom
**Symmetry**: C2/m

---

No. 3
This record from Alexandria via LeMat-Bulk describes a relaxed structure of Ba8BiTe4I3. The functional is PBE.

```
Ba8BiTe4I3
1.0
-0.7526 -7.1856 -6.9591
-0.1247 -6.9844 7.2251
-6.6402 7.5161 0.1874
Ba Bi Te I
8 1 4 3
Direct
0.2479 0.7602 0.0122 Ba
0.2480 0.7602 0.4959 Ba
0.2432 0.2295 0.4864 Ba
0.7643 0.7602 0.0122 Ba
0.2357 0.2398 0.9878 Ba
0.7568 0.7705 0.5136 Ba
0.7520 0.2398 0.5041 Ba
0.7521 0.2398 0.9878 Ba
0.0000 0.5000 0.0000 Bi
0.5000 0.0000 0.0000 Te
0.5000 0.0000 0.5000 Te
0.0000 0.0000 0.0000 Te
0.0000 0.0000 0.5000 Te
0.5000 0.5000 0.0000 I
0.5000 0.5000 0.5000 I
0.0000 0.5000 0.5000 I
```

Values from the calculation:
**Crystal system**: trigonal
**Formation energy from raw total energies**: -1.57 eV per atom
**Symmetry**: R-3m

---

No. 4
This record from Alexandria via LeMat-Bulk describes a relaxed structure of Ba6Bi2Te3I. The functional is PBE.

```
Ba6Bi2Te3I
1.0
4.8744 0.0000 0.0000
0.0000 10.4564 0.3492
-2.4372 -3.0317 10.6822
Ba Bi Te I
6 2 3 1
Direct
0.3266 0.9160 0.6532 Ba
0.6682 0.5881 0.3364 Ba
0.6734 0.0840 0.3468 Ba
0.0015 0.2668 0.0031 Ba
0.9985 0.7332 0.9969 Ba
0.3318 0.4119 0.6636 Ba
0.8356 0.6709 0.6713 Bi
0.1644 0.3291 0.3287 Bi
0.5000 0.5000 0.0000 Te
0.8380 0.1643 0.6760 Te
0.1620 0.8357 0.3240 Te
0.5000 0.0000 0.0000 I
```

Values from the calculation:
**Crystal system**: monoclinic
**Formation energy from raw total energies**: -1.42 eV per atom
**Symmetry**: C2/m

---

No. 5
This record from Alexandria via LeMat-Bulk describes a relaxed structure of Ba6Bi3Te2I. The functional is PBE.

```
Ba6Bi3Te2I
1.0
-4.6021 0.4881 1.8895
-1.2817 -10.2488 -0.4745
6.7074 2.2469 9.1441
Ba Bi Te I
6 3 2 1
Direct
0.3288 0.9138 0.6575 Ba
0.6695 0.5737 0.3391 Ba
0.6712 0.0862 0.3425 Ba
0.0034 0.2643 0.0069 Ba
0.9966 0.7357 0.9931 Ba
0.3305 0.4263 0.6609 Ba
0.5000 0.5000 0.0000 Bi
0.8384 0.1762 0.6769 Bi
0.1616 0.8238 0.3231 Bi
0.8347 0.6750 0.6694 Te
0.1653 0.3250 0.3306 Te
0.5000 0.0000 0.0000 I
```

Values from the calculation:
**Crystal system**: monoclinic
**Formation energy from raw total energies**: -1.23 eV per atom
**Symmetry**: C2/m

---

No. 6
This record from Alexandria via LeMat-Bulk describes a relaxed structure of BaTlBiI2. The functional is PBE.

```
BaTlBiI2
1.0
-3.7542 4.6319 1.9895
-4.9925 -3.7598 -0.6675
0.7650 -2.1683 6.4918
I Tl Bi Ba
2 1 1 1
Direct
0.0000 0.5000 0.0000 I
0.5000 0.0000 0.0000 I
0.5000 0.5000 0.5000 Tl
0.0000 0.0000 0.0000 Bi
0.0000 0.0000 0.5000 Ba
```

Values from the calculation:
**Crystal system**: tetragonal
**Formation energy from raw total energies**: -0.22 eV per atom
**Symmetry**: P4/mmm

---

No. 7
This record from Alexandria via LeMat-Bulk describes a relaxed structure of BaTlBiI. The functional is PBE.

```
BaTlBiI
1.0
-3.3479 -4.2373 -2.6011
-2.9047 -4.0148 3.3725
-5.9745 0.2136 0.4353
I Tl Bi Ba
1 1 1 1
Direct
0.0000 0.0000 0.0000 I
0.7500 0.7500 0.7500 Tl
0.5000 0.5000 0.5000 Bi
0.2500 0.2500 0.2500 Ba
```

Values from the calculation:
**Crystal system**: cubic
**Formation energy from raw total energies**: -0.68 eV per atom
**Symmetry**: F-43m

---

No. 8
This record from Alexandria via LeMat-Bulk describes a relaxed structure of BaTl2BiI6. The functional is PBE.

```
BaTl2BiI6
1.0
-6.0974 5.3468 -4.4678
-7.8762 -2.3578 -0.1346
-6.3921 5.5433 4.5595
Ba Tl Bi I
1 2 1 6
Direct
0.8303 0.8117 0.5415 Ba
0.5016 0.5339 0.4428 Tl
0.9877 0.0346 0.9491 Tl
0.3247 0.3229 0.0303 Bi
0.6122 0.1755 0.2887 I
0.2278 0.9384 0.2221 I
0.9605 0.5577 0.2564 I
0.4230 0.7034 0.7804 I
0.6940 0.1315 0.7646 I
0.0998 0.4519 0.7392 I
```

Values from the calculation:
**Crystal system**: triclinic
**Formation energy from raw total energies**: -0.81 eV per atom
**Symmetry**: P1

---

No. 9
This record from Alexandria via LeMat-Bulk describes a relaxed structure of BaTl2BiI. The functional is PBE.

```
BaTl2BiI
1.0
-0.7653 -2.6039 -5.5643
-4.5638 -4.4350 2.7031
-4.5872 3.9720 -1.2279
I Tl Bi Ba
1 2 1 1
Direct
0.5000 0.5000 0.5000 I
0.0000 0.0000 0.5000 Tl
0.5000 0.0000 0.0000 Tl
0.0000 0.0000 0.0000 Bi
0.0000 0.5000 0.0000 Ba
```

Values from the calculation:
**Crystal system**: tetragonal
**Formation energy from raw total energies**: -0.28 eV per atom
**Symmetry**: P4/mmm

---

No. 10
This record from Alexandria via LeMat-Bulk describes a relaxed structure of Ba2In5Bi3. The functional is PBE.

```
Ba2In5Bi3
1.0
7.1921 0.0000 0.0000
3.5961 9.8700 -0.5596
3.5961 0.9695 9.8382
Ba In Bi
4 10 6
Direct
0.1241 0.6517 0.1001 Ba
0.6241 0.1001 0.6517 Ba
0.8759 0.3483 0.8999 Ba
0.3759 0.8999 0.3483 Ba
0.3478 0.2581 0.0463 In
0.8478 0.0463 0.2581 In
0.6522 0.7419 0.9537 In
0.1522 0.9537 0.7419 In
0.5378 0.7122 0.7122 In
0.4622 0.2878 0.2878 In
0.7500 0.5000 0.5000 In
0.2500 0.5000 0.5000 In
0.9622 0.2878 0.2878 In
0.0378 0.7122 0.7122 In
0.3830 0.4383 0.7958 Bi
0.8830 0.7958 0.4383 Bi
0.6170 0.5617 0.2042 Bi
0.1170 0.2042 0.5617 Bi
0.2500 0.0000 0.0000 Bi
0.7500 0.0000 0.0000 Bi
```

Values from the calculation:
**Crystal system**: orthorhombic
**Energy of formation**: -0.346 eV/atom
**Symmetry**: Ibam

---

No. 11
This record from Alexandria via LeMat-Bulk describes a relaxed structure of Ba2In3Bi5. The functional is PBE.

```
Ba2In3Bi5
1.0
9.2701 0.0000 0.0000
4.6350 9.1127 0.6368
4.6350 2.0348 8.9054
Ba In Bi
4 6 10
Direct
0.1309 0.6195 0.1188 Ba
0.6309 0.1188 0.6195 Ba
0.8691 0.3805 0.8812 Ba
0.3691 0.8812 0.3805 Ba
0.3771 0.5165 0.7294 In
0.8771 0.7294 0.5165 In
0.6229 0.4835 0.2706 In
0.1229 0.2706 0.4835 In
0.2500 0.0000 0.0000 In
0.7500 0.0000 0.0000 In
0.3826 0.2334 0.0014 Bi
0.8826 0.0014 0.2334 Bi
0.6174 0.7666 0.9986 Bi
0.1174 0.9986 0.7666 Bi
0.5055 0.7445 0.7445 Bi
0.4945 0.2555 0.2555 Bi
0.7500 0.5000 0.5000 Bi
0.2500 0.5000 0.5000 Bi
0.9945 0.2555 0.2555 Bi
0.0055 0.7445 0.7445 Bi
```

Values from the calculation:
**Crystal system**: orthorhombic
**Energy of formation**: -0.334 eV/atom
**Symmetry**: Ibam

---

No. 12
This record from Alexandria via LeMat-Bulk describes a relaxed structure of BaIn6Bi2. The functional is PBE.

```
BaIn6Bi2
1.0
-0.0036 1.4933 -4.8310
-3.2514 -3.7006 -1.1415
-8.7885 7.0477 2.1851
Ba In Bi
1 6 2
Direct
0.0000 0.0000 0.0000 Ba
0.0000 0.5000 0.3157 In
0.5000 0.0000 0.3157 In
0.0000 0.5000 0.6843 In
0.5000 0.0000 0.6843 In
0.5000 0.5000 0.5000 In
0.0000 0.0000 0.5000 In
0.5000 0.5000 0.1365 Bi
0.5000 0.5000 0.8635 Bi
```

Values from the calculation:
**Crystal system**: tetragonal
**Energy of formation**: -0.164 eV/atom
**Symmetry**: P4/mmm

---

No. 13
This record from Alexandria via LeMat-Bulk describes a relaxed structure of BaInBi. The functional is PBE.

```
BaInBi
1.0
5.4143 0.0000 0.0000
0.0000 4.9834 0.0000
0.0000 -2.4917 4.3157
In Bi Ba
1 1 1
Direct
0.0506 0.0000 0.0000 In
0.2753 0.3333 0.6667 Bi
0.6741 0.6667 0.3333 Ba
```

Values from the calculation:
**Crystal system**: trigonal
**Energy of formation**: -0.587 eV/atom
**Symmetry**: P3m1

---

No. 14
This record from Alexandria via LeMat-Bulk describes a relaxed structure of Ba4InBi8. The functional is PBE.

```
Ba4InBi8
1.0
4.7954 0.0000 0.0000
0.0000 5.2358 0.0000
0.0000 0.0000 19.5329
Ba In Bi
4 1 8
Direct
0.0000 0.0000 0.0835 Ba
0.0000 0.5000 0.6138 Ba
0.5000 0.5000 0.3927 Ba
0.5000 0.0000 0.8922 Ba
0.0000 0.0000 0.3232 In
0.0000 0.0000 0.4790 Bi
0.0000 0.5000 0.9275 Bi
0.5000 0.5000 0.0369 Bi
0.5000 0.0000 0.5924 Bi
0.0000 0.5000 0.2295 Bi
0.0000 0.0000 0.7462 Bi
0.5000 0.0000 0.2272 Bi
0.5000 0.5000 0.7588 Bi
```

Values from the calculation:
**Crystal system**: orthorhombic
**Energy of formation**: -0.559 eV/atom
**Symmetry**: Pmm2

---

No. 15
This record from Alexandria via LeMat-Bulk describes a relaxed structure of Ba5In2Bi. The functional is PBE.

```
Ba5In2Bi
1.0
-5.1981 -7.3965 -1.2163
6.1466 -5.0532 4.4601
-4.5398 7.8567 5.8299
Ba In Bi
10 4 2
Direct
0.5263 0.6808 0.7071 Ba
0.8192 0.9737 0.2929 Ba
0.0000 0.0000 0.0000 Ba
0.5000 0.5000 0.0000 Ba
0.1808 0.0263 0.7071 Ba
0.6808 0.1808 0.7071 Ba
0.0263 0.5263 0.7071 Ba
0.3192 0.8192 0.2929 Ba
0.9737 0.4737 0.2929 Ba
0.4737 0.3192 0.2929 Ba
0.1163 0.3837 0.0000 In
0.6163 0.1163 0.0000 In
0.3837 0.8837 0.0000 In
0.8837 0.6163 0.0000 In
0.7500 0.7500 0.5000 Bi
0.2500 0.2500 0.5000 Bi
```

Values from the calculation:
**Crystal system**: tetragonal
**Energy of formation**: -0.515 eV/atom
**Symmetry**: I4/mcm

---

No. 16
This record from Alexandria via LeMat-Bulk describes a relaxed structure of Ba5In4Bi5. The functional is PBE.

```
Ba5In4Bi5
1.0
-8.7083 -0.8935 -2.5471
2.6355 -8.5763 -6.0021
-1.8078 -6.4693 8.4501
Ba In Bi
10 8 10
Direct
0.1974 0.0000 0.0000 Ba
0.6974 0.5000 0.5000 Ba
0.3744 0.1905 0.6052 Ba
0.3744 0.6052 0.8095 Ba
0.3744 0.3948 0.1905 Ba
0.3744 0.8095 0.3948 Ba
0.8744 0.6905 0.8948 Ba
0.8744 0.3095 0.1052 Ba
0.8744 0.8948 0.3095 Ba
0.8744 0.1052 0.6905 Ba
0.0297 0.6849 0.5721 In
0.0297 0.3151 0.4279 In
0.0297 0.4279 0.6849 In
0.0297 0.5721 0.3151 In
0.5297 0.9279 0.8151 In
0.5297 0.8151 0.0721 In
0.5297 0.1849 0.9279 In
0.5297 0.0721 0.1849 In
0.8114 0.0000 0.0000 Bi
0.3114 0.5000 0.5000 Bi
0.1941 0.8903 0.6901 Bi
0.1941 0.1097 0.3099 Bi
0.1941 0.3099 0.8903 Bi
0.1941 0.6901 0.1097 Bi
0.6941 0.8099 0.6097 Bi
0.6941 0.6097 0.1901 Bi
0.6941 0.3903 0.8099 Bi
0.6941 0.1901 0.3903 Bi
```

Values from the calculation:
**Crystal system**: tetragonal
**Energy of formation**: -0.652 eV/atom
**Symmetry**: P4nc

---

No. 17
This record from Alexandria via LeMat-Bulk describes a relaxed structure of Ba3In4Bi2. The functional is PBE.

```
Ba3In4Bi2
1.0
4.9628 0.0000 1.3239
2.0152 6.4416 2.4097
-0.0948 0.3222 10.3193
Ba In Bi
3 4 2
Direct
0.3158 0.7173 0.6512 Ba
0.0000 0.0000 0.0000 Ba
0.6842 0.2827 0.3488 Ba
0.2437 0.4336 0.0789 In
0.7563 0.5664 0.9211 In
0.9974 0.3548 0.6504 In
0.0026 0.6452 0.3496 In
0.3953 0.9346 0.2748 Bi
0.6047 0.0654 0.7252 Bi
```

Values from the calculation:
**Crystal system**: monoclinic
**Energy of formation**: -0.532 eV/atom
**Symmetry**: C2/m

---

No. 18
This record from Alexandria via LeMat-Bulk describes a relaxed structure of Ba3In2Bi4. The functional is PBE.

```
Ba3In2Bi4
1.0
-4.0574 3.3332 -1.6240
-1.1031 -2.7174 6.4795
6.4226 8.0994 0.5776
Ba In Bi
3 2 4
Direct
0.6304 0.2608 0.6937 Ba
0.0000 0.0000 0.0000 Ba
0.3696 0.7392 0.3063 Ba
0.6762 0.3523 0.3439 In
0.3238 0.6477 0.6561 In
0.7180 0.4359 0.0705 Bi
0.2820 0.5641 0.9295 Bi
0.9122 0.8245 0.5935 Bi
0.0878 0.1755 0.4065 Bi
```

Values from the calculation:
**Crystal system**: monoclinic
**Energy of formation**: -0.604 eV/atom
**Symmetry**: C2/m

---

No. 19
This record from Alexandria via LeMat-Bulk describes a relaxed structure of Ba8In2Bi. The functional is PBE.

```
Ba8In2Bi
1.0
6.0347 0.0000 0.0000
0.0000 8.5718 0.0430
-3.0173 -3.6304 10.1930
Ba In Bi
8 2 1
Direct
0.4016 0.5577 0.8032 Ba
0.6667 0.9556 0.3333 Ba
0.7961 0.6930 0.5921 Ba
0.9725 0.2199 0.9451 Ba
0.2039 0.3070 0.4079 Ba
0.3333 0.0444 0.6667 Ba
0.5984 0.4423 0.1968 Ba
0.0275 0.7801 0.0549 Ba
0.8183 0.3021 0.6366 In
0.1817 0.6979 0.3634 In
0.5000 0.0000 0.0000 Bi
```

Values from the calculation:
**Crystal system**: monoclinic
**Energy of formation**: -0.357 eV/atom
**Symmetry**: C2/m

---

No. 20
This record from Alexandria via LeMat-Bulk describes a relaxed structure of Ba5In2Bi5. The functional is PBE.

```
Ba5In2Bi5
1.0
-1.8944 0.0858 4.6826
-8.7205 -3.3078 -0.7421
2.5610 -9.9789 3.9441
Ba In Bi
5 2 5
Direct
0.0000 0.5000 0.5000 Ba
0.6857 0.7190 0.9095 Ba
0.3759 0.9281 0.3202 Ba
0.6241 0.0719 0.6798 Ba
0.3143 0.2810 0.0905 Ba
0.4099 0.4581 0.7221 In
0.5901 0.5419 0.2779 In
0.7098 0.2216 0.3588 Bi
0.9202 0.3197 0.8399 Bi
0.0798 0.6803 0.1601 Bi
0.2902 0.7784 0.6412 Bi
0.0000 0.0000 0.0000 Bi
```

Values from the calculation:
**Crystal system**: monoclinic
**Energy of formation**: -0.689 eV/atom
**Symmetry**: C2/m